1.
VASP calculation (GGA-PBE) on a relaxed AlSiTc2 crystal.

Properties
- VASP energy (eV per atom) = -7.6308
- calculated volume (Å³/cell) = 57
- ΔE_f (raw) (eV/atom) = -0.156
- magnetization (μB/f.u.) = 0.000

Cell lengths 3.0504, 4.6895, 3.9581 Å; angles 90.00, 90.00, 90.00 degrees
Closest atoms and distances in Å follow each position.
Atoms (fractional coordinates):
Si 0.0000 0.5000 0.5000  4 Tc 2.50, 4 Al 2.80
Tc 0.0000 0.0000 0.0000  4 Al 2.50, 4 Tc 2.80
Tc 0.5000 0.5000 0.0000  4 Si 2.50, 4 Tc 2.80
Al 0.5000 0.0000 0.5000  4 Tc 2.50, 4 Si 2.80

=====

2.
VASP calculation (GGA-PBE) on a relaxed Al2SiTc crystal.

Properties
- VASP energy (eV per atom) = -5.9707
- calculated volume (Å³/cell) = 58
- ΔE_f (raw) (eV/atom) = -0.152
- magnetization (μB/f.u.) = 0.000

Cell lengths 4.4561, 4.4560, 3.1145 Å; angles 90.00, 90.00, 109.58 degrees
Closest atoms and distances in Å follow each position.
Atoms (fractional coordinates):
Si 0.5000 0.0000 0.5000  2 Tc 2.57, 8 Al 2.72
Tc 0.0000 0.5000 0.5000  2 Si 2.57, 8 Al 2.72
Al 0.0000 0.0000 0.0000  2 Al 2.57, 4 Tc 2.72, 4 Si 2.72
Al 0.5000 0.5000 0.0000  2 Al 2.57, 4 Si 2.72, 4 Tc 2.72

=====

3.
VASP calculation (GGA-PBE) on a relaxed Al2SiTc crystal.

Properties
- VASP energy (eV per atom) = -5.9466
- calculated volume (Å³/cell) = 58
- ΔE_f (raw) (eV/atom) = -0.128
- magnetization (μB/f.u.) = 0.000

Cell lengths 4.8231, 4.8231, 4.3939 Å; angles 83.61, 83.61, 34.86 degrees
Closest atoms and distances in Å follow each position.
Atoms (fractional coordinates):
Si 0.7500 0.7500 0.7500  6 Al 2.60-2.90, 4 Tc 2.63, 2 Si 2.89
Tc 0.2500 0.2500 0.2500  4 Si 2.63, 6 Al 2.73-2.75, 2 Tc 2.89
Al 0.9908 0.9908 0.0069  6 Al 2.60-2.89, 3 Si 2.60-2.90, 3 Tc 2.73-2.75
Al 0.5092 0.5092 0.4931  6 Al 2.60-2.89, 3 Si 2.60-2.90, 3 Tc 2.73-2.75